(1)
DFT (GGA-PBE) results for crystalline LiMgAg2 at its relaxed geometry.

Lattice parameters (Å, degrees): 4.900 4.900 5.165 101.60 101.60 35.89
Sites, in units of the cell vectors:
Li 0.000 0.000 0.000
Mg 0.500 0.500 0.500
Ag 0.251 0.251 0.756
Ag 0.749 0.749 0.244

Values from the calculation:
Fermi-level density of states: 1.2 states/eV per cell
Formation enthalpy at 0 K: -54 kJ/mol of formula units
Mass density: 5.770 g/cm3
SG: No. 12


(2)
DFT (GGA-PBE) results for crystalline NdAl3 at its relaxed geometry.

Lattice parameters (Å, degrees): 6.489 6.489 4.652 90.00 90.00 120.00
Sites, in units of the cell vectors:
Nd 0.333 0.667 0.250
Nd 0.667 0.333 0.750
Al 0.141 0.282 0.750
Al 0.141 0.859 0.750
Al 0.282 0.141 0.250
Al 0.718 0.859 0.750
Al 0.859 0.141 0.250
Al 0.859 0.718 0.250

Values from the calculation:
Fermi-level density of states: 2.9 states/eV per cell
Formation enthalpy at 0 K: -172 kJ/mol of formula units
Mass density: 4.409 g/cm3
SG: No. 194


(3)
DFT (GGA-PBE) results for crystalline Y2AsP at its relaxed geometry.

Lattice parameters (Å, degrees): 3.574 3.574 7.446 90.00 90.00 105.93
Sites, in units of the cell vectors:
Y 0.000 0.000 0.243
Y 0.000 0.000 0.757
As 0.500 0.500 0.500
P 0.500 0.500 0.000

Values from the calculation:
Fermi-level density of states: 1.1 states/eV per cell
Formation enthalpy at 0 K: -442 kJ/mol of formula units
Mass density: 5.152 g/cm3
SG: No. 65


(4)
DFT (GGA-PBE) results for crystalline BeZn2Re at its relaxed geometry.

Lattice parameters (Å, degrees): 4.894 4.894 4.729 115.40 115.40 31.27
Sites, in units of the cell vectors:
Be 0.000 0.000 0.000
Zn 0.502 0.502 0.528
Zn 0.742 0.742 0.422
Re 0.261 0.261 0.947

Values from the calculation:
Fermi-level density of states: 1.0 states/eV per cell
Formation enthalpy at 0 K: 53 kJ/mol of formula units
Mass density: 10.284 g/cm3
SG: No. 8


(5)
DFT (GGA-PBE) results for crystalline NiBiMo2 at its relaxed geometry.

Lattice parameters (Å, degrees): 10.345 10.345 10.345 158.71 158.71 30.28
Sites, in units of the cell vectors:
Ni 0.000 0.000 0.000
Ni 0.750 0.250 0.500
Bi 0.250 0.750 0.500
Bi 0.500 0.500 0.000
Mo 0.081 0.625 0.956
Mo 0.375 0.331 0.456
Mo 0.669 0.125 0.044
Mo 0.875 0.919 0.544

Values from the calculation:
Fermi-level density of states: 9.9 states/eV per cell
Formation enthalpy at 0 K: 264 kJ/mol of formula units
Mass density: 10.464 g/cm3
SG: No. 122


(6)
DFT (GGA-PBE) results for crystalline Cd2SiPbCl at its relaxed geometry.

Lattice parameters (Å, degrees): 5.271 5.271 4.878 90.00 90.00 90.00
Sites, in units of the cell vectors:
Cd 0.000 0.500 0.000
Cd 0.500 0.000 0.000
Si 0.000 0.000 0.000
Pb 0.500 0.500 0.500
Cl 0.000 0.000 0.500

Values from the calculation:
Fermi-level density of states: 3.9 states/eV per cell
Mass density: 6.072 g/cm3
ΔE_f (raw): 180 meV per atom
E above lowest polymorph: 82 meV/atom
SG: No. 123


(7)
DFT (GGA-PBE) results for crystalline SrGa2OsPd at its relaxed geometry.

Lattice parameters (Å, degrees): 4.731 4.731 5.241 90.00 90.00 90.00
Sites, in units of the cell vectors:
Sr 0.000 0.000 0.000
Ga 0.000 0.500 0.500
Ga 0.500 0.000 0.500
Os 0.500 0.500 0.000
Pd 0.500 0.500 0.500

Values from the calculation:
Fermi-level density of states: 2.5 states/eV per cell
Formation enthalpy at 0 K: 195 kJ/mol of formula units
Mass density: 7.412 g/cm3
SG: No. 123


(8)
DFT (GGA-PBE) results for crystalline LiGeSbIr at its relaxed geometry.

Lattice parameters (Å, degrees): 4.565 4.565 4.565 60.00 60.00 60.00
Sites, in units of the cell vectors:
Li 0.000 0.000 0.000
Ge 0.250 0.250 0.250
Sb 0.750 0.750 0.750
Ir 0.500 0.500 0.500

Values from the calculation:
Fermi-level density of states: 2.7 states/eV per cell
Mass density: 9.718 g/cm3
ΔE_f (raw): -226 meV per atom
SG: No. 216


Number 1: DFT total energy -9.77 eV per formula unit. Number 2: DFT total energy -17.78 eV per formula unit. Number 3: DFT total energy -27.57 eV per formula unit. Number 4: DFT total energy -18.18 eV per formula unit. Number 5: DFT total energy -28.59 eV per formula unit. Number 6: DFT total energy -11.91 eV per formula unit. Number 7: DFT total energy -22.14 eV per formula unit. Number 8: DFT total energy -20.42 eV per formula unit.